No. 1
An optimized crystal structure of CuWSe2, computed with GGA-PBE.

Cell lengths 4.7030, 4.7030, 4.7030 Å; angles 131.21, 121.85, 79.25 degrees
Closest atoms and distances in Å follow each position.
Positions (direct):
Cu  0.2500  0.7500  0.5000  4 Se 2.51
Se  0.0301  0.0301  0.0000  2 Cu 2.51, 4 W 2.79-2.81
Se  0.4699  0.4699  0.0000  2 Cu 2.51, 4 W 2.79-2.81
W  0.7500  0.2500  0.5000  8 Se 2.79-2.81, 4 Cu 3.00

Output
Distance to the lowest polymorph of the same formula ... 585 meV/atom


No. 2
An optimized crystal structure of SiRu, computed with GGA-PBE.

Cell lengths 5.3481, 4.5330, 8.9782 Å; angles 90.00, 90.00, 90.00 degrees
Closest atoms and distances in Å follow each position.
Positions (direct):
Si  0.3820  0.3748  0.4602  6 Ru 2.36-2.53
Si  0.8820  0.1252  0.5398  6 Ru 2.36-2.53
Si  0.6180  0.8748  0.0398  6 Ru 2.36-2.53
Si  0.1180  0.6252  0.9602  6 Ru 2.36-2.53
Si  0.1307  0.0863  0.2499  5 Ru 2.43-2.59, 3 Si 2.66
Si  0.6307  0.4137  0.7501  5 Ru 2.43-2.59, 3 Si 2.66
Si  0.8693  0.5863  0.2501  5 Ru 2.43-2.59, 3 Si 2.66
Si  0.3693  0.9137  0.7499  5 Ru 2.43-2.59, 3 Si 2.66
Ru  0.7693  0.6253  0.5138  5 Si 2.36-2.44
Ru  0.2693  0.8747  0.4862  5 Si 2.36-2.44
Ru  0.2307  0.1253  0.9862  5 Si 2.36-2.44
Ru  0.7307  0.3747  0.0138  5 Si 2.36-2.44
Ru  0.3318  0.5970  0.2031  6 Si 2.47-2.59
Ru  0.8318  0.9030  0.7969  6 Si 2.47-2.59
Ru  0.6682  0.0970  0.2969  6 Si 2.47-2.59
Ru  0.1682  0.4030  0.7031  6 Si 2.47-2.59

Output
E_tot ... -125.24 eV/cell